{"formula": "BeCr2O2", "functional": "PBE with a Hubbard U", "state": "relaxed", "cell": [[-5.125, -2.625, -0.614], [-0.346, -0.667, 5.742], [-1.470, 2.814, 0.238]], "species": ["O", "Cr", "Cr", "Cr", "Be", "O", "O", "O", "Cr", "Be"], "fractional_positions": [[0.330, 0.830, 0.000], [0.666, 0.834, 0.500], [0.834, 0.334, 0.500], [0.334, 0.166, 0.500], [0.000, 0.000, 0.000], [0.170, 0.330, 0.000], [0.830, 0.670, 0.000], [0.670, 0.170, 0.000], [0.166, 0.666, 0.500], [0.500, 0.500, 0.000]], "magmom_total_mub_per_fu": 8.00, "dft_energy_ev_per_atom": -6.3542, "de_polymorph_mev_per_atom": 324}